Below is a relaxed YOsS2 crystal, with properties calculated at the PBEsol level.

Unit cell a=4.479 b=4.479 c=4.479 alpha=60.00 beta=60.00 gamma=60.00
Sites, in units of the cell vectors:
Y 0.000 0.000 0.000
Os 0.500 0.500 0.500
S 0.250 0.250 0.250
S 0.750 0.750 0.750

Properties
Space-group type: Fm-3m
Magnetization: 0.0 Bohr magnetons per cell
Uncorrected formation energy: -0.47 eV per atom
Crystal system: cubic

---

Below is a relaxed BiC3Cl crystal, with properties calculated at the PBEsol level.

Unit cell a=3.972 b=3.972 c=3.972 alpha=90.00 beta=90.00 gamma=90.00
Sites, in units of the cell vectors:
Bi 0.000 0.000 0.000
C 0.000 0.500 0.500
C 0.500 0.000 0.500
C 0.500 0.500 0.000
Cl 0.500 0.500 0.500

Properties
Space-group type: Pm-3m
Magnetization: 0.0 Bohr magnetons per cell
Uncorrected formation energy: 3.05 eV per atom
Crystal system: cubic

---

Below is a relaxed SrCaY2 crystal, with properties calculated at the PBEsol level.

Unit cell a=4.008 b=5.899 c=6.091 alpha=90.00 beta=90.00 gamma=90.00
Sites, in units of the cell vectors:
Sr 0.000 0.000 0.000
Ca 0.500 0.500 0.000
Y 0.000 0.500 0.500
Y 0.500 0.000 0.500

Properties
Space-group type: Pmmm
Magnetization: 0.0 Bohr magnetons per cell
Offset from the most stable computed form: 116 meV/atom
Crystal system: orthorhombic
Energy of formation from the pure elements: 0.203 eV per atom

---

Below is a relaxed Cs2KCuF6 crystal, with properties calculated at the PBEsol level.

Unit cell a=6.291 b=6.291 c=6.291 alpha=60.00 beta=60.00 gamma=60.00
Sites, in units of the cell vectors:
Cs 0.250 0.250 0.250
Cs 0.750 0.750 0.750
K 0.000 0.000 0.000
Cu 0.500 0.500 0.500
F 0.285 0.285 0.715
F 0.285 0.715 0.285
F 0.285 0.715 0.715
F 0.715 0.285 0.285
F 0.715 0.285 0.715
F 0.715 0.715 0.285

Properties
Space-group type: Fm-3m
Magnetization: 2.0 Bohr magnetons per cell
Uncorrected formation energy: -2.33 eV per atom
Crystal system: cubic

---

Below is a relaxed SrOsSe2 crystal, with properties calculated at the PBEsol level.

Unit cell a=3.626 b=3.626 c=6.415 alpha=90.00 beta=90.00 gamma=90.00
Sites, in units of the cell vectors:
Sr 0.000 0.000 0.000
Os 0.500 0.500 0.379
Se 0.000 0.000 0.476
Se 0.500 0.500 0.775

Properties
Space-group type: P4mm
Magnetization: 0.8 Bohr magnetons per cell
Uncorrected formation energy: -0.09 eV per atom
Offset from the most stable computed form: 352 meV/atom
Crystal system: tetragonal

---

Below is a relaxed LiNi2Ru crystal, with properties calculated at the PBEsol level.

Unit cell a=4.601 b=4.601 c=4.332 alpha=104.87 beta=104.87 gamma=31.47
Sites, in units of the cell vectors:
Li 0.000 0.000 0.000
Ni 0.243 0.243 0.859
Ni 0.527 0.527 0.509
Ru 0.783 0.783 0.374

Properties
Space-group type: Cm
Magnetization: 0.0 Bohr magnetons per cell
Offset from the most stable computed form: 23 meV/atom
Crystal system: monoclinic
Energy of formation from the pure elements: 0.080 eV per atom

---

Below is a relaxed FeTe3H crystal, with properties calculated at the PBEsol level.

Unit cell a=5.047 b=5.047 c=5.047 alpha=90.00 beta=90.00 gamma=90.00
Sites, in units of the cell vectors:
Fe 0.000 0.000 0.000
Te 0.000 0.000 0.500
Te 0.000 0.500 0.000
Te 0.500 0.000 0.000
H 0.500 0.500 0.500

Properties
Space-group type: Pm-3m
Magnetization: 3.8 Bohr magnetons per cell
Crystal system: cubic
E_tot: -18.71 eV per cell

---

Below is a relaxed MoPSe4 crystal, with properties calculated at the PBEsol level.

Unit cell a=5.441 b=5.441 c=5.441 alpha=60.00 beta=60.00 gamma=60.00
Sites, in units of the cell vectors:
Mo 0.000 0.000 0.000
P 0.750 0.750 0.750
Se 0.374 0.374 0.374
Se 0.374 0.374 0.877
Se 0.374 0.877 0.374
Se 0.877 0.374 0.374

Properties
Space-group type: F-43m
Magnetization: 2.0 Bohr magnetons per cell
Uncorrected formation energy: 1.16 eV per atom
Crystal system: cubic

---

Below is a relaxed KHgW2 crystal, with properties calculated at the PBEsol level.

Unit cell a=6.250 b=6.250 c=2.693 alpha=100.90 beta=100.90 gamma=125.34
Sites, in units of the cell vectors:
K 0.000 0.000 0.000
Hg 0.500 0.500 0.000
W 0.000 0.500 0.500
W 0.500 0.000 0.500

Properties
Space-group type: C2/m
Magnetization: 0.0 Bohr magnetons per cell
Crystal system: monoclinic
Energy of formation from the pure elements: 1.354 eV per atom

---

Below is a relaxed KCd2P crystal, with properties calculated at the PBEsol level.

Unit cell a=5.054 b=5.054 c=5.054 alpha=60.00 beta=60.00 gamma=60.00
Sites, in units of the cell vectors:
K 0.000 0.000 0.000
Cd 0.500 0.500 0.500
Cd 0.750 0.750 0.750
P 0.250 0.250 0.250

Properties
Space-group type: F-43m
Magnetization: 0.0 Bohr magnetons per cell
Crystal system: cubic
Energy of formation from the pure elements: 0.154 eV per atom

---

Below is a relaxed Zr2HgPb crystal, with properties calculated at the PBEsol level.

Unit cell a=5.311 b=5.311 c=5.311 alpha=129.97 beta=129.97 gamma=73.45
Sites, in units of the cell vectors:
Zr 0.250 0.750 0.500
Zr 0.750 0.250 0.500
Hg 0.000 0.000 0.000
Pb 0.500 0.500 0.000

Properties
Space-group type: I4/mmm
Magnetization: 0.0 Bohr magnetons per cell
Offset from the most stable computed form: 0 meV/atom
Crystal system: tetragonal
Energy of formation from the pure elements: -0.276 eV per atom

---

Below is a relaxed HfSiN2O crystal, with properties calculated at the PBEsol level.

Unit cell a=4.176 b=4.176 c=3.990 alpha=90.00 beta=90.00 gamma=90.00
Sites, in units of the cell vectors:
Hf 0.000 0.000 0.000
Si 0.500 0.500 0.500
N 0.000 0.500 0.000
N 0.500 0.000 0.000
O 0.000 0.000 0.500

Properties
Space-group type: P4/mmm
Magnetization: 1.9 Bohr magnetons per cell
Uncorrected formation energy: -0.11 eV per atom
Crystal system: tetragonal

---

Q: Look up the magnetization of the fifth one.
A: 0.8 Bohr magnetons per cell